# 1
# YAs2SeBr (PBE, relaxed)
data_YAs2SeBr
_cell_length_a 5.620
_cell_length_b 5.620
_cell_length_c 5.286
_cell_angle_alpha 90.00
_cell_angle_beta 90.00
_cell_angle_gamma 90.00
_space_group_name_H-M_alt 'P 4/m m m'
_space_group_IT_number 123
_space_group_name_Hall '-P 4 2'
loop_
_atom_site_label
_atom_site_type_symbol
_atom_site_fract_x
_atom_site_fract_y
_atom_site_fract_z
Y1 Y 0.000 0.000 0.000
As1 As 0.000 0.500 0.000
Se1 Se 0.500 0.500 0.500
Br1 Br 0.000 0.000 0.500
# Spin magnetization = 0.55 μB/f.u.
# Uncorrected energy = -19.9 eV for the cell shown
# Formation energy (no corrections) = 20 kJ per mole of atoms

***

# 2
# YAs2SeBr (PBE, relaxed)
data_YAs2SeBr
_cell_length_a 5.046
_cell_length_b 5.046
_cell_length_c 5.162
_cell_angle_alpha 90.00
_cell_angle_beta 90.00
_cell_angle_gamma 90.00
_space_group_name_H-M_alt 'P 4/m m m'
_space_group_IT_number 123
_space_group_name_Hall '-P 4 2'
loop_
_atom_site_label
_atom_site_type_symbol
_atom_site_fract_x
_atom_site_fract_y
_atom_site_fract_z
Y1 Y 0.000 0.000 0.000
As1 As 0.000 0.500 0.500
Se1 Se 0.500 0.500 0.500
Br1 Br 0.500 0.500 0.000
# Spin magnetization = 0.00 μB/f.u.
# Uncorrected energy = -20.5 eV for the cell shown
# Formation energy (no corrections) = 9 kJ per mole of atoms

***

# 3
# YAsSeBr2 (PBE, relaxed)
data_YAsSeBr2
_cell_length_a 5.174
_cell_length_b 5.174
_cell_length_c 5.332
_cell_angle_alpha 90.00
_cell_angle_beta 90.00
_cell_angle_gamma 90.00
_space_group_name_H-M_alt 'P 4/m m m'
_space_group_IT_number 123
_space_group_name_Hall '-P 4 2'
loop_
_atom_site_label
_atom_site_type_symbol
_atom_site_fract_x
_atom_site_fract_y
_atom_site_fract_z
Y1 Y 0.000 0.000 0.000
As1 As 0.500 0.500 0.000
Se1 Se 0.500 0.500 0.500
Br1 Br 0.000 0.500 0.500
# Spin magnetization = 0.00 μB/f.u.
# Uncorrected energy = -17.8 eV for the cell shown
# Formation energy (no corrections) = 3 kJ per mole of atoms

***

# 4
# YAsSeBr2 (PBE, relaxed)
data_YAsSeBr2
_cell_length_a 5.482
_cell_length_b 5.482
_cell_length_c 5.720
_cell_angle_alpha 90.00
_cell_angle_beta 90.00
_cell_angle_gamma 90.00
_space_group_name_H-M_alt 'P 4/m m m'
_space_group_IT_number 123
_space_group_name_Hall '-P 4 2'
loop_
_atom_site_label
_atom_site_type_symbol
_atom_site_fract_x
_atom_site_fract_y
_atom_site_fract_z
Y1 Y 0.000 0.000 0.000
As1 As 0.500 0.500 0.500
Se1 Se 0.000 0.000 0.500
Br1 Br 0.000 0.500 0.000
# Spin magnetization = 2.00 μB/f.u.
# Uncorrected energy = -20.7 eV for the cell shown
# Formation energy (no corrections) = -54 kJ per mole of atoms

***

# 5
# ZrAsSeBr2 (PBE, relaxed)
data_ZrAsSeBr2
_cell_length_a 5.097
_cell_length_b 5.097
_cell_length_c 5.305
_cell_angle_alpha 90.00
_cell_angle_beta 90.00
_cell_angle_gamma 90.00
_space_group_name_H-M_alt 'P 4/m m m'
_space_group_IT_number 123
_space_group_name_Hall '-P 4 2'
loop_
_atom_site_label
_atom_site_type_symbol
_atom_site_fract_x
_atom_site_fract_y
_atom_site_fract_z
Zr1 Zr 0.000 0.000 0.000
As1 As 0.500 0.500 0.000
Se1 Se 0.500 0.500 0.500
Br1 Br 0.000 0.500 0.500
# Spin magnetization = 1.63 μB/f.u.
# Uncorrected energy = -16.8 eV for the cell shown
# Formation energy (no corrections) = 62 kJ per mole of atoms

***

# 6
# ZrAsSeBr2 (PBE, relaxed)
data_ZrAsSeBr2
_cell_length_a 5.146
_cell_length_b 5.146
_cell_length_c 5.561
_cell_angle_alpha 90.00
_cell_angle_beta 90.00
_cell_angle_gamma 90.00
_space_group_name_H-M_alt 'P 4/m m m'
_space_group_IT_number 123
_space_group_name_Hall '-P 4 2'
loop_
_atom_site_label
_atom_site_type_symbol
_atom_site_fract_x
_atom_site_fract_y
_atom_site_fract_z
Zr1 Zr 0.000 0.000 0.000
As1 As 0.000 0.000 0.500
Se1 Se 0.500 0.500 0.500
Br1 Br 0.000 0.500 0.000
# Spin magnetization = 0.59 μB/f.u.
# Uncorrected energy = -20.7 eV for the cell shown
# Formation energy (no corrections) = -12 kJ per mole of atoms

***

| no. | DOS at the Fermi energy (states/eV/f.u.) |
| --- | --- |
| 1 | 4.799 |
| 2 | 4.423 |
| 3 | 5.182 |
| 4 | 1.692 |
| 5 | 6.393 |
| 6 | 5.415 |